1.
A relaxed La3TeAs2 crystal. Source: the Alexandria database, functional GGA-PBE.

Lattice parameters (Å, degrees): 4.8815 7.6356 10.8574 90.00 90.00 108.64
Closest atoms and distances in Å follow each position.
Positions (direct):
La (0.3747, 0.7494, 0.9475)  3 As 2.82-3.09
As (0.4985, 0.9969, 0.2500)  4 La 2.80-2.82
La (0.9030, 0.8060, 0.2500)  4 As 2.80-3.06
As (0.0000, 0.0000, 0.5000)  6 La 3.06-3.09
La (0.3747, 0.7494, 0.5525)  3 As 2.82-3.09
Te (0.7656, 0.5311, 0.7500)  8 La 3.45-3.86, 1 As 3.82
La (0.6253, 0.2506, 0.4475)  3 As 2.82-3.09
As (0.5015, 0.0031, 0.7500)  4 La 2.80-2.82
Te (0.2344, 0.4689, 0.2500)  8 La 3.45-3.86, 1 As 3.82
La (0.0970, 0.1939, 0.7500)  4 As 2.80-3.06
La (0.6253, 0.2506, 0.0525)  3 As 2.82-3.09
As (0.0000, 0.0000, 0.0000)  6 La 3.06-3.09

**Energy**: -5.752 eV per atom
**Crystal system**: orthorhombic
**Density of states at the Fermi level**: 4.7 states/eV per cell
**Symmetry**: Cmcm, No. 63
**Uncorrected formation energy**: -1.2152 eV per atom



2.
A relaxed La2TeAs crystal. Source: the Alexandria database, functional GGA-PBE.

Lattice parameters (Å, degrees): 8.1455 8.1455 8.1455 31.15 31.15 31.15
Closest atoms and distances in Å follow each position.
Positions (direct):
Te (0.4991, 0.4991, 0.4991)  6 La 3.32-3.35
La (0.0726, 0.0726, 0.0726)  3 As 3.02, 3 Te 3.32
La (0.2603, 0.2603, 0.2603)  3 As 3.06, 3 Te 3.35
As (0.6679, 0.6679, 0.6679)  6 La 3.02-3.06

**Energy**: -5.997 eV per atom
**Crystal system**: trigonal
**Density of states at the Fermi level**: 3.1 states/eV per cell
**Symmetry**: R3m, No. 160
**Uncorrected formation energy**: -1.5858 eV per atom



3.
A relaxed LaTe3As crystal. Source: the Alexandria database, functional GGA-PBE.

Lattice parameters (Å, degrees): 5.4386 5.4386 5.4386 90.00 90.00 90.00
Closest atoms and distances in Å follow each position.
Positions (direct):
Te (0.5000, 0.0000, 0.0000)  2 As 2.72
Te (0.0000, 0.0000, 0.5000)  2 As 2.72
As (0.0000, 0.0000, 0.0000)  6 Te 2.72
Te (0.0000, 0.5000, 0.0000)  2 As 2.72
La (0.5000, 0.5000, 0.5000)  12 Te 3.85

**Energy**: -4.222 eV per atom
**Crystal system**: cubic
**Density of states at the Fermi level**: 0.4 states/eV per cell
**Symmetry**: Pm-3m, No. 221
**Uncorrected formation energy**: -0.4217 eV per atom



4.
A relaxed La2TeAs crystal. Source: the Alexandria database, functional GGA-PBE.

Lattice parameters (Å, degrees): 6.4691 6.4692 4.7658 90.00 90.00 37.81
Closest atoms and distances in Å follow each position.
Positions (direct):
As (0.7460, 0.7460, 0.8751)  5 La 3.03-3.17
Te (0.5122, 0.5122, 0.3749)  5 La 3.18-3.23
La (0.9932, 0.9932, 0.8749)  1 As 3.03, 4 Te 3.18
La (0.2486, 0.2486, 0.3751)  4 As 3.17, 1 Te 3.23

**Energy**: -5.808 eV per atom
**Crystal system**: orthorhombic
**Density of states at the Fermi level**: 2.5 states/eV per cell
**Symmetry**: Amm2, No. 38
**Uncorrected formation energy**: -1.3968 eV per atom



5.
A relaxed La2TeAs crystal. Source: the Alexandria database, functional GGA-PBE.

Lattice parameters (Å, degrees): 4.4336 6.3400 9.0561 90.00 90.00 90.00
Closest atoms and distances in Å follow each position.
Positions (direct):
Te (0.0000, 0.5000, 0.8787)  6 La 3.18-3.31
La (0.0000, 0.0000, 0.3924)  4 As 3.05-3.17, 2 Te 3.31
Te (0.5000, 0.0000, 0.1213)  6 La 3.18-3.31
As (0.0000, 0.5000, 0.3765)  6 La 3.02-3.17
La (0.5000, 0.5000, 0.1506)  2 As 3.02, 4 Te 3.18-3.31
La (0.5000, 0.5000, 0.6076)  4 As 3.05-3.17, 2 Te 3.31
La (0.0000, 0.0000, 0.8494)  2 As 3.02, 4 Te 3.18-3.31
As (0.5000, 0.0000, 0.6235)  6 La 3.02-3.17

**Energy**: -6.045 eV per atom
**Crystal system**: orthorhombic
**Density of states at the Fermi level**: 3.1 states/eV per cell
**Symmetry**: Pmmn, No. 59
**Uncorrected formation energy**: -1.6337 eV per atom



6.
A relaxed LaThTeAs crystal. Source: the Alexandria database, functional GGA-PBE.

Lattice parameters (Å, degrees): 4.3010 4.3023 8.0682 90.00 105.45 120.00
Closest atoms and distances in Å follow each position.
Positions (direct):
La (0.4928, 0.1443, 0.6526)  3 As 3.02, 3 Te 3.36
Te (0.9634, 0.3798, 0.3582)  3 Th 3.26, 3 La 3.36
As (0.3086, 0.5522, 0.8762)  3 Th 2.95, 3 La 3.02
Th (0.1131, 0.9545, 0.0827)  3 As 2.95, 3 Te 3.26

**Energy**: -6.465 eV per atom
**Crystal system**: trigonal
**Density of states at the Fermi level**: 1.3 states/eV per cell
**Symmetry**: R3m, No. 160
**Uncorrected formation energy**: -1.4303 eV per atom



7.
A relaxed La4TlTe2As crystal. Source: the Alexandria database, functional GGA-PBE.

Lattice parameters (Å, degrees): 4.4714 7.9381 7.9390 71.29 90.00 90.00
Closest atoms and distances in Å follow each position.
Positions (direct):
La (0.0000, 0.7419, 0.7436)  1 As 3.13, 2 Tl 3.21, 3 Te 3.22-3.32
Te (0.5000, 0.0000, 0.5000)  6 La 3.22-3.26
La (0.5000, 0.2698, 0.7344)  2 As 3.10, 1 Tl 3.20, 3 Te 3.26-3.34
La (0.0000, 0.2581, 0.2564)  1 As 3.13, 2 Tl 3.21, 3 Te 3.22-3.32
As (0.0000, 0.5000, 0.5000)  6 La 3.10-3.13
Te (0.0000, 0.0000, 0.0000)  6 La 3.32-3.34
Tl (0.5000, 0.5000, 0.0000)  6 La 3.20-3.21
La (0.5000, 0.7302, 0.2656)  2 As 3.10, 1 Tl 3.20, 3 Te 3.26-3.34

**Energy**: -5.406 eV per atom
**Crystal system**: monoclinic
**Density of states at the Fermi level**: 3.7 states/eV per cell
**Symmetry**: P2/m, No. 10
**Uncorrected formation energy**: -1.2801 eV per atom



8.
A relaxed LaYTeAs crystal. Source: the Alexandria database, functional GGA-PBE.

Lattice parameters (Å, degrees): 4.3145 4.3145 7.6971 73.72 73.72 60.00
Closest atoms and distances in Å follow each position.
Positions (direct):
Te (0.7547, 0.7547, 0.7358)  3 Y 3.15, 3 La 3.28
La (0.9904, 0.9904, 0.0289)  3 As 3.03, 3 Te 3.28
Y (0.5098, 0.5098, 0.4707)  3 As 2.91, 3 Te 3.15
As (0.2451, 0.2451, 0.2646)  3 Y 2.91, 3 La 3.03

**Energy**: -6.375 eV per atom
**Crystal system**: trigonal
**Density of states at the Fermi level**: 1.8 states/eV per cell
**Symmetry**: R3m, No. 160
**Uncorrected formation energy**: -1.5796 eV per atom



Values of total magnetic moment, in order: 0.99; 0.35; 0.00; 0.00; 0.00; 0.00; 0.00; 0.00, all in μB/f.u..